# 1
12
Lattice="6.224 0.023 -0.782 -0.765 6.177 -0.782 -0.115 -0.131 8.385" Properties=species:S:1:pos:R:3 comment="Na2InSn3 (GGA-PBE, optimized geometry)" energy_ev_per_atom=-3.047 sg="C2/c (15)" pbc="T T T"
Na 5.140 2.322 0.074
Na 3.749 0.742 2.555
Na 0.204 3.747 6.747
Na 1.596 5.327 4.266
In -0.206 5.628 1.314
In 5.551 0.442 5.507
Sn 0.727 2.016 3.769
Sn 3.494 5.159 -1.141
Sn 4.618 4.053 3.052
Sn 1.850 0.910 7.962
Sn 2.123 3.576 1.314
Sn 3.222 2.493 5.507

# 2
9
Lattice="-2.105 0.399 6.402 5.530 -3.238 2.022 5.527 3.468 1.603" Properties=species:S:1:pos:R:3 comment="Na2In6Sn (GGA-PBE, optimized geometry)" energy_ev_per_atom=-2.632 sg="C2/m (12)" pbc="T T T"
Na 5.561 0.498 7.946
Na 3.390 0.131 2.081
In 5.800 1.825 4.153
In 8.376 0.321 5.093
In 5.801 -1.290 4.348
In 3.152 -1.196 5.874
In 0.575 0.308 4.934
In 3.151 1.919 5.680
Sn 0.000 0.000 0.000

# 3
10
Lattice="8.373 0.000 0.000 0.000 8.373 0.000 0.000 0.000 3.930" Properties=species:S:1:pos:R:3 comment="Na2In2Sn (GGA-PBE, optimized geometry)" energy_ev_per_atom=-2.459 sg="P4/mbm (127)" pbc="T T T"
Na 1.425 5.612 1.965
Na 5.612 6.947 1.965
Na 6.947 2.761 1.965
Na 2.761 1.425 1.965
Sn 0.000 0.000 0.000
Sn 4.186 4.186 0.000
In 3.093 7.279 0.000
In 7.279 5.280 0.000
In 5.280 1.094 0.000
In 1.094 3.093 0.000

# 4
9
Lattice="5.563 0.000 0.000 -2.782 4.818 0.000 0.000 0.000 11.017" Properties=species:S:1:pos:R:3 comment="NaIn6Sn2 (GGA-PBE, optimized geometry)" energy_ev_per_atom=-2.766 sg="P-31m (162)" pbc="T T T"
Na 0.000 0.000 0.000
In 3.715 0.000 2.762
In 0.924 1.601 2.762
In -1.857 3.217 2.762
In 1.857 3.217 8.255
In -0.924 1.601 8.255
In 1.849 0.000 8.255
Sn 0.000 3.212 5.508
Sn 2.782 1.606 5.508